Entry 1:
Entry from the Alexandria database: a geometry-optimized Sc2TeAs structure (PBE).

Summary:
* uncorrected formation energy: -0.385 eV per atom

Geometry as POSCAR:
```
Sc2TeAs
1.0
3.977 0.000 0.000
-1.988 3.444 0.000
0.000 0.000 25.602
Sc Te As
6 3 3
Direct
0.000 0.000 0.098 Sc
0.000 0.000 0.902 Sc
0.333 0.667 0.568 Sc
0.333 0.667 0.765 Sc
0.667 0.333 0.235 Sc
0.667 0.333 0.432 Sc
0.000 0.000 0.500 Te
0.333 0.667 0.167 Te
0.667 0.333 0.833 Te
0.000 0.000 0.000 As
0.333 0.667 0.667 As
0.667 0.333 0.333 As
```


Entry 2:
Entry from the Alexandria database: a geometry-optimized HgAu2Cl structure (PBE).

Summary:
* energy above the most stable polymorph in this dataset: 0.68 eV per formula unit
* uncorrected formation energy: 0.135 eV per atom

Geometry as POSCAR:
```
HgAu2Cl
1.0
3.041 0.000 0.000
0.000 4.763 0.000
0.000 0.000 5.846
Hg Au Cl
1 2 1
Direct
0.000 0.000 0.000 Hg
0.000 0.500 0.500 Au
0.500 0.500 0.000 Au
0.500 0.000 0.500 Cl
```


Entry 3:
Entry from the Alexandria database: a geometry-optimized NaAgPdF4 structure (PBE).

Summary:
* uncorrected formation energy: -1.415 eV per atom

Geometry as POSCAR:
```
NaAgPdF4
1.0
2.917 -5.523 0.000
2.917 5.523 0.000
0.000 0.000 6.788
Na Ag Pd F
2 2 2 8
Direct
0.000 0.000 0.000 Na
0.000 0.000 0.500 Na
0.322 0.678 0.750 Ag
0.678 0.322 0.250 Ag
0.345 0.655 0.250 Pd
0.655 0.345 0.750 Pd
0.206 0.794 0.036 F
0.206 0.794 0.464 F
0.264 0.277 0.250 F
0.277 0.264 0.750 F
0.723 0.736 0.250 F
0.736 0.723 0.750 F
0.794 0.206 0.536 F
0.794 0.206 0.964 F
```


Entry 4:
Entry from the Alexandria database: a geometry-optimized LaRe4Br structure (PBE).

Summary:
* uncorrected formation energy: 0.763 eV per atom

Geometry as POSCAR:
```
LaRe4Br
1.0
0.000 3.857 3.857
3.857 0.000 3.857
3.857 3.857 0.000
La Re Br
1 4 1
Direct
0.000 0.000 0.000 La
0.128 0.624 0.624 Re
0.624 0.128 0.624 Re
0.624 0.624 0.128 Re
0.624 0.624 0.624 Re
0.250 0.250 0.250 Br
```


Entry 5:
Entry from the Alexandria database: a geometry-optimized MnBiSe2 structure (PBE).

Summary:
* uncorrected formation energy: -0.107 eV per atom

Geometry as POSCAR:
```
MnBiSe2
1.0
3.449 0.000 0.000
-1.724 2.987 0.000
0.000 0.000 8.597
Mn Bi Se
1 1 2
Direct
0.000 0.000 0.000 Mn
0.333 0.667 0.501 Bi
0.333 0.667 0.844 Se
0.667 0.333 0.164 Se
```


Entry 6:
Entry from the Alexandria database: a geometry-optimized RbAl2FeCl8 structure (PBE).

Summary:
* uncorrected formation energy: -1.329 eV per atom

Geometry as POSCAR:
```
RbAl2FeCl8
1.0
3.181 1.837 9.439
-3.181 1.837 9.439
0.000 -3.673 9.439
Rb Al Fe Cl
1 2 1 8
Direct
0.000 0.000 0.000 Rb
0.242 0.242 0.242 Al
0.758 0.758 0.758 Al
0.500 0.500 0.500 Fe
0.114 0.460 0.767 Cl
0.233 0.886 0.540 Cl
0.318 0.318 0.318 Cl
0.460 0.767 0.114 Cl
0.540 0.233 0.886 Cl
0.682 0.682 0.682 Cl
0.767 0.114 0.460 Cl
0.886 0.540 0.233 Cl
```


- The highest uncorrected formation energy belongs to which entry?
  LaRe4Br